Record 1
Here is a relaxed structure of PmPr2HoMg from Alexandria. Energies are from PBE. Values from VASP.

```
&SYSTEM
  ibrav = 0, nat = 10, ntyp = 4
/
ATOMIC_SPECIES
Pm 145.00 Pm.upf
Pr 140.91 Pr.upf
Ho 164.93 Ho.upf
Mg 24.30 Mg.upf
CELL_PARAMETERS angstrom
7.4986 0.0000 0.0000
0.0000 7.2918 1.3839
0.0000 -1.1118 5.8568
ATOMIC_POSITIONS angstrom
Pm 1.1380 2.8121 5.0845
Pm 6.3605 3.3680 2.1561
Pr 5.1513 4.4073 5.3871
Pr 5.1513 1.2168 4.7820
Pr 2.3472 4.9632 2.4587
Pr 2.3472 1.7727 1.8536
Ho 4.7505 -0.2779 1.4642
Ho 2.7481 -0.8338 4.3926
Mg 0.0000 0.0000 0.0000
Mg 0.0000 -0.5559 2.9284
```

Results
The value obtained for the formation energy is 0.151 eV per atom. As for the density: 6.2 g cm⁻³. For the density of states at the Fermi level, the calculation gives 16.362 states/eV per cell. Its space group is Pmma, No. 51.

---

Record 2
Here is a relaxed structure of Sc8Te4PSe3 from Alexandria. Energies are from PBE. Values from VASP.

```
&SYSTEM
  ibrav = 0, nat = 16, ntyp = 4
/
ATOMIC_SPECIES
Sc 44.96 Sc.upf
Te 127.60 Te.upf
P 30.97 P.upf
Se 78.96 Se.upf
CELL_PARAMETERS angstrom
-7.1205 1.7457 -3.0848
2.5747 -2.3621 -7.2798
0.5477 -4.9998 6.1609
ATOMIC_POSITIONS angstrom
Sc 0.7441 -6.1811 0.1899
Sc 0.4554 -3.5456 -3.0576
Sc -0.8421 -2.8380 0.3378
Sc -3.0093 -5.2609 -1.4362
Sc -0.9888 -0.3553 -2.7676
Sc -3.1561 -2.7782 -4.5416
Sc -4.4536 -2.0707 -1.1461
Sc -4.7423 0.5649 -4.3936
Te -3.5603 0.8728 -1.5424
Te -3.2864 -1.6271 1.5380
Te 0.0000 0.0000 0.0000
Te 0.2738 -2.4999 3.0804
P 1.2873 -1.1810 -3.6399
Se -2.2729 -0.3082 -5.1823
Se -1.9991 -2.8081 -2.1019
Se 1.5612 -3.6810 -0.5595
```

Results
As for the density: 5.2 g cm⁻³. For the density of states at the Fermi level, the calculation gives 7.162 states/eV per cell. Its space group is R-3m, No. 166. For the formation energy without anion corrections, the calculation gives -22.3 eV/f.u.